ThUS2: optimized geometry, PBE.

```
data_ThUS2
_chemical_formula_sum 'Th3 U3 S6'
_cell_length_a 3.8827
_cell_length_b 3.8827
_cell_length_c 20.1900
_cell_angle_alpha 90.00
_cell_angle_beta 90.00
_cell_angle_gamma 120.00
_space_group_name_H-M_alt 'R -3 m'
_space_group_IT_number 166
_space_group_name_Hall '-R 3 2"'
loop_
_atom_site_label
_atom_site_fract_x
_atom_site_fract_y
_atom_site_fract_z
_atom_site_occupancy
Th1 0.0000 0.0000 0.0000 1
U1 0.0000 0.0000 0.5000 1
S1 0.0000 0.0000 0.2457 1
```

* formation energy without anion corrections: -1.604 eV per atom
* E above lowest polymorph: 0 meV per atom
* calculated density: 10.10 g cm⁻³